# 1
A plane-wave DFT calculation with PBE-GGA was carried out for crystalline Ag2SnF8 at its relaxed geometry.

Cell lengths 3.9831, 5.4105, 7.2466 Å; angles 101.35, 105.95, 90.00 degrees
Atoms (fractional coordinates):
Ag (0.1527, 0.6018, 0.3054)
F (0.4249, 0.6338, 0.8497)
Ag (0.8473, 0.3982, 0.6946)
F (0.3639, 0.0584, 0.7277)
F (0.2396, 0.3360, 0.4791)
Sn (0.5000, 0.0000, 0.0000)
F (0.0301, 0.8116, 0.0602)
F (0.6361, 0.9416, 0.2723)
F (0.9699, 0.1884, 0.9398)
F (0.5751, 0.3662, 0.1503)
F (0.7604, 0.6640, 0.5209)

Computed properties:
Energy in eV per atom: -3.806
E_form (uncorrected) in eV per atom: -1.56
SG: C2/m
D(E_F) in states/eV/atom: 0.433
Energy above the lowest structure with this stoichiometry in meV per atom: 125

# 2
A plane-wave DFT calculation with PBE-GGA was carried out for crystalline Ag5Sn2F12 at its relaxed geometry.

Cell lengths 7.8666, 7.5169, 7.0187 Å; angles 118.83, 90.00, 121.55 degrees
Atoms (fractional coordinates):
Ag (0.3637, 0.7275, 0.2794)
F (0.6127, 0.2253, 0.0756)
Sn (0.7491, 0.0000, 0.0000)
Sn (0.2509, 0.0000, 0.0000)
Ag (0.2376, 0.4751, 0.5275)
F (0.0034, 0.0067, 0.8301)
F (0.3873, 0.7747, 0.9244)
Ag (0.0000, 0.0000, 0.5000)
F (0.7173, 0.0526, 0.3114)
Ag (0.7624, 0.5249, 0.4725)
F (0.6191, 0.6193, 0.8037)
F (0.3354, 0.0526, 0.3114)
F (0.3809, 0.3807, 0.1963)
F (0.6646, 0.9474, 0.6886)
F (0.0002, 0.6193, 0.8037)
F (0.2827, 0.9474, 0.6886)
Ag (0.6363, 0.2725, 0.7206)
F (0.9998, 0.3807, 0.1963)
F (0.9966, 0.9933, 0.1699)

Computed properties:
Energy in eV per atom: -3.988
E_form (uncorrected) in eV per atom: -1.63
SG: C2/m
D(E_F) in states/eV/atom: 0.085
Energy above the lowest structure with this stoichiometry in meV per atom: 0

# 3
A plane-wave DFT calculation with PBE-GGA was carried out for crystalline Ag2SnF8 at its relaxed geometry.

Cell lengths 4.8531, 5.9745, 5.9745 Å; angles 76.04, 83.59, 83.59 degrees
Atoms (fractional coordinates):
F (0.7910, 0.9327, 0.3138)
F (0.7558, 0.4135, 0.4135)
F (0.2090, 0.6862, 0.0673)
F (0.2880, 0.1359, 0.1359)
F (0.2442, 0.5865, 0.5865)
F (0.7910, 0.3138, 0.9327)
F (0.7120, 0.8641, 0.8641)
Ag (0.2721, 0.3646, 0.3646)
Sn (0.0000, 0.0000, 0.0000)
Ag (0.7279, 0.6354, 0.6354)
F (0.2090, 0.0673, 0.6862)

Computed properties:
Energy in eV per atom: -3.931
E_form (uncorrected) in eV per atom: -1.69
SG: C2/m
D(E_F) in states/eV/atom: 0.208
Energy above the lowest structure with this stoichiometry in meV per atom: 0

# 4
A plane-wave DFT calculation with PBE-GGA was carried out for crystalline Ag5Sn2F12 at its relaxed geometry.

Cell lengths 6.7946, 6.9870, 8.7140 Å; angles 102.76, 90.00, 119.09 degrees
Atoms (fractional coordinates):
Ag (0.7101, 0.4202, 0.3859)
F (0.4053, 0.3167, 0.1501)
F (0.1037, 0.7300, 0.4580)
F (0.9551, 0.9102, 0.1259)
F (0.6263, 0.7300, 0.4580)
F (0.5458, 0.0917, 0.8732)
F (0.3737, 0.2700, 0.5420)
F (0.8963, 0.2700, 0.5420)
F (0.0449, 0.0898, 0.8741)
Sn (0.2483, 0.0000, 0.0000)
F (0.5947, 0.6833, 0.8499)
F (0.4542, 0.9083, 0.1268)
Ag (0.2899, 0.5798, 0.6141)
Ag (0.2951, 0.5902, 0.2883)
Sn (0.7517, 0.0000, 0.0000)
F (0.0885, 0.6833, 0.8499)
Ag (0.7049, 0.4098, 0.7117)
Ag (0.0000, 0.0000, 0.5000)
F (0.9115, 0.3167, 0.1501)

Computed properties:
Energy in eV per atom: -3.917
E_form (uncorrected) in eV per atom: -1.56
SG: C2/m
D(E_F) in states/eV/atom: 0.307
Energy above the lowest structure with this stoichiometry in meV per atom: 71

# 5
A plane-wave DFT calculation with PBE-GGA was carried out for crystalline AgSn2F at its relaxed geometry.

Cell lengths 4.9975, 4.9975, 8.6135 Å; angles 73.14, 73.14, 90.00 degrees
Atoms (fractional coordinates):
Sn (0.1932, 0.6250, 0.2500)
Sn (0.8750, 0.8068, 0.7500)
F (0.5000, 0.5000, 0.0000)
Ag (0.7500, 0.2500, 0.5000)
Sn (0.5568, 0.1250, 0.2500)
F (0.2500, 0.7500, 0.5000)
Ag (0.0000, 0.0000, 0.0000)
Sn (0.3750, 0.4432, 0.7500)

Computed properties:
Energy in eV per atom: -3.676
E_form (uncorrected) in eV per atom: -0.49
SG: I-42d
D(E_F) in states/eV/atom: 0.361
Energy above the lowest structure with this stoichiometry in meV per atom: 71

# 6
A plane-wave DFT calculation with PBE-GGA was carried out for crystalline AgSn2F11 at its relaxed geometry.

Cell lengths 7.8269, 8.3637, 8.3637 Å; angles 76.24, 62.10, 62.10 degrees
Atoms (fractional coordinates):
F (0.1808, 0.5223, 0.8058)
F (0.4912, 0.8058, 0.5223)
F (0.6195, 0.7514, 0.0173)
F (0.0000, 0.0000, 0.0000)
F (0.3805, 0.2486, 0.9827)
Sn (0.0724, 0.8037, 0.1963)
F (0.1195, 0.5173, 0.2514)
F (0.6903, 0.3034, 0.6966)
F (0.8097, 0.8034, 0.1966)
F (0.1117, 0.2514, 0.5173)
F (0.8805, 0.4827, 0.7486)
F (0.5000, 0.5000, 0.5000)
F (0.3192, 0.6942, 0.9777)
F (0.8192, 0.4777, 0.1942)
Ag (0.7500, 0.7500, 0.7500)
F (0.1903, 0.1966, 0.8034)
Sn (0.5724, 0.6963, 0.3037)
F (0.0088, 0.9777, 0.6942)
F (0.3097, 0.6966, 0.3034)
F (0.6117, 0.0173, 0.7514)
F (0.8883, 0.7486, 0.4827)
Sn (0.9276, 0.1963, 0.8037)
F (0.9912, 0.0223, 0.3058)
Ag (0.2500, 0.2500, 0.2500)
Sn (0.4276, 0.3037, 0.6963)
F (0.6808, 0.3058, 0.0223)
F (0.5088, 0.1942, 0.4777)
F (0.3883, 0.9827, 0.2486)

Computed properties:
Energy in eV per atom: -4.122
E_form (uncorrected) in eV per atom: -1.88
SG: Ibam
D(E_F) in states/eV/atom: 0.371

# 7
A plane-wave DFT calculation with PBE-GGA was carried out for crystalline AgSnF at its relaxed geometry.

Cell lengths 3.2995, 3.1981, 12.5156 Å; angles 90.00, 90.00, 121.05 degrees
Atoms (fractional coordinates):
Sn (0.1858, 0.3717, 0.7934)
Sn (0.1858, 0.3717, 0.2066)
F (0.6972, 0.3944, 0.6363)
Ag (0.3652, 0.7303, 0.5000)
F (0.6972, 0.3944, 0.3637)
Ag (0.5354, 0.0707, 0.0000)

Computed properties:
Energy in eV per atom: -3.625
E_form (uncorrected) in eV per atom: -0.72
SG: Amm2
D(E_F) in states/eV/atom: 0.314

# 8
A plane-wave DFT calculation with PBE-GGA was carried out for crystalline SrAg2SnF8 at its relaxed geometry.

Cell lengths 4.4105, 5.8019, 7.6319 Å; angles 90.00, 90.00, 95.34 degrees
Atoms (fractional coordinates):
F (0.1085, 0.7983, 0.2038)
Ag (0.5000, 0.5000, 0.2549)
F (0.5141, 0.7608, 0.5000)
F (0.8915, 0.2017, 0.7962)
Sr (0.0000, 0.0000, 0.5000)
F (0.3856, 0.2114, 0.0000)
Sn (0.0000, 0.0000, 0.0000)
F (0.6144, 0.7886, 0.0000)
F (0.4859, 0.2392, 0.5000)
F (0.8915, 0.2016, 0.2038)
F (0.1085, 0.7984, 0.7962)
Ag (0.5000, 0.5000, 0.7451)

Computed properties:
Energy in eV per atom: -4.525
E_form (uncorrected) in eV per atom: -2.33
SG: P2/m

# 9
A plane-wave DFT calculation with PBE-GGA was carried out for crystalline ZnAgSn2F at its relaxed geometry.

Cell lengths 5.3646, 3.9571, 5.3646 Å; angles 90.00, 90.00, 90.00 degrees
Atoms (fractional coordinates):
F (0.0000, 0.5000, 0.0000)
Sn (0.5000, 0.0000, 0.0000)
Ag (0.5000, 0.5000, 0.5000)
Zn (0.0000, 0.0000, 0.0000)
Sn (0.0000, 0.0000, 0.5000)

Computed properties:
Energy in eV per atom: -3.059
E_form (uncorrected) in eV per atom: -0.26
SG: P4/mmm
D(E_F) in states/eV/atom: 0.442

# 10
A plane-wave DFT calculation with PBE-GGA was carried out for crystalline ZrAg2SnF at its relaxed geometry.

Cell lengths 4.7388, 4.3753, 4.7388 Å; angles 90.00, 90.00, 90.00 degrees
Atoms (fractional coordinates):
Zr (0.0000, 0.5000, 0.0000)
F (0.0000, 0.0000, 0.0000)
Ag (0.5000, 0.0000, 0.0000)
Sn (0.5000, 0.5000, 0.5000)
Ag (0.0000, 0.0000, 0.5000)

Computed properties:
Energy in eV per atom: -4.452
E_form (uncorrected) in eV per atom: -0.43
SG: P4/mmm
D(E_F) in states/eV/atom: 0.576

# 11
A plane-wave DFT calculation with PBE-GGA was carried out for crystalline ZrAgSnF2 at its relaxed geometry.

Cell lengths 4.3136, 6.2235, 4.3136 Å; angles 90.00, 90.00, 90.00 degrees
Atoms (fractional coordinates):
Zr (0.0000, 0.5000, 0.0000)
Sn (0.0000, 0.0000, 0.0000)
F (0.5000, 0.0000, 0.0000)
Ag (0.5000, 0.5000, 0.5000)
F (0.0000, 0.0000, 0.5000)

Computed properties:
Energy in eV per atom: -4.495
E_form (uncorrected) in eV per atom: -0.67
SG: P4/mmm
D(E_F) in states/eV/atom: 0.881

# 12
A plane-wave DFT calculation with PBE-GGA was carried out for crystalline SrAg3F12 at its relaxed geometry.

Cell lengths 10.5931, 10.5931, 8.0214 Å; angles 48.68, 48.68, 60.00 degrees
Atoms (fractional coordinates):
Ag (0.3531, 0.9992, 0.9949)
F (0.7214, 0.1478, 0.9839)
F (0.1478, 0.1469, 0.9839)
Ag (0.9992, 0.6527, 0.9949)
Sr (0.0337, 0.0337, 0.8989)
F (0.6469, 0.6478, 0.4839)
F (0.2861, 0.8544, 0.9999)
F (0.1469, 0.7214, 0.9839)
F (0.5928, 0.5515, 0.0151)
F (0.8405, 0.5928, 0.0151)
F (0.7861, 0.3596, 0.4999)
F (0.4544, 0.4160, 0.9774)
F (0.3405, 0.0515, 0.5151)
F (0.6478, 0.2214, 0.4839)
F (0.5515, 0.8405, 0.0151)
F (0.9544, 0.6522, 0.4774)
F (0.3596, 0.3544, 0.4999)
F (0.4160, 0.1522, 0.9774)
F (0.0515, 0.0928, 0.5151)
F (0.2214, 0.6469, 0.4839)
F (0.8596, 0.2861, 0.9999)
F (0.0928, 0.3405, 0.5151)
Ag (0.6527, 0.3531, 0.9949)
Ag (0.8531, 0.1527, 0.4949)
Ag (0.4992, 0.8531, 0.4949)
F (0.9160, 0.9544, 0.4774)
Sr (0.5337, 0.5337, 0.3989)
F (0.8544, 0.8596, 0.9999)
F (0.1522, 0.4544, 0.9774)
F (0.3544, 0.7861, 0.4999)
F (0.6522, 0.9160, 0.4774)
Ag (0.1527, 0.4992, 0.4949)

Computed properties:
Energy in eV per atom: -3.510
E_form (uncorrected) in eV per atom: -1.47
SG: R3c
D(E_F) in states/eV/atom: 1.030